VASP calculation (PBE) on crystalline LaFe2Hg at its relaxed geometry.

Cell and atoms, written as POSCAR:
```
LaFe2Hg
1.0
5.5162 -1.6927 0.0000
5.5162 1.6927 0.0000
-2.0187 0.0000 4.2859
La Fe Hg
1 2 1
Direct
0.0000 0.0000 0.0000 La
0.2122 0.2122 0.7123 Fe
0.5466 0.5466 0.5462 Fe
0.7821 0.7821 0.2833 Hg
```

Properties
Formation energy = 0.246 eV per atom
N(E_F) = 3.23 states/eV/cell

***

VASP calculation (PBE) on crystalline KBeFe2 at its relaxed geometry.

Cell and atoms, written as POSCAR:
```
KBeFe2
1.0
2.5848 0.0000 0.0000
0.0000 4.8645 0.0000
0.0000 0.0000 4.9840
K Be Fe
1 1 2
Direct
0.0000 0.0000 0.0000 K
0.5000 0.0000 0.5000 Be
0.0000 0.5000 0.5000 Fe
0.5000 0.5000 0.0000 Fe
```

Properties
Formation energy = 1.250 eV per atom
N(E_F) = 5.20 states/eV/cell

***

VASP calculation (PBE) on crystalline KTl4Tc at its relaxed geometry.

Cell and atoms, written as POSCAR:
```
KTl4Tc
1.0
0.0000 4.4876 4.4876
4.4876 0.0000 4.4876
4.4876 4.4876 0.0000
K Tl Tc
1 4 1
Direct
0.0000 0.0000 0.0000 K
0.3758 0.3758 0.3758 Tl
0.3758 0.3758 0.8725 Tl
0.3758 0.8725 0.3758 Tl
0.8725 0.3758 0.3758 Tl
0.7500 0.7500 0.7500 Tc
```

Properties
Formation energy = 0.692 eV per atom
N(E_F) = 4.91 states/eV/cell

***

VASP calculation (PBE) on crystalline Mg3SN at its relaxed geometry.

Cell and atoms, written as POSCAR:
```
Mg3SN
1.0
4.2863 0.0000 0.0000
0.0000 4.2863 0.0000
0.0000 0.0000 4.2863
Mg S N
3 1 1
Direct
0.0000 0.0000 0.5000 Mg
0.0000 0.5000 0.0000 Mg
0.5000 0.0000 0.0000 Mg
0.5000 0.5000 0.5000 S
0.0000 0.0000 0.0000 N
```

Properties
Polymorph energy (0 for the lowest one) = 0 meV per atom
N(E_F) = 2.25 states/eV/cell
Formation energy without anion corrections = -0.630 eV/atom

***

VASP calculation (PBE) on crystalline ZrInAg2 at its relaxed geometry.

Cell and atoms, written as POSCAR:
```
ZrInAg2
1.0
3.1812 0.0000 0.0000
0.0000 3.1812 0.0000
0.0000 0.0000 7.9634
Zr In Ag
1 1 2
Direct
0.0000 0.0000 0.0000 Zr
0.5000 0.5000 0.7286 In
0.0000 0.0000 0.4832 Ag
0.5000 0.5000 0.2511 Ag
```

Properties
Formation energy = -0.080 eV per atom
N(E_F) = 3.28 states/eV/cell

***

VASP calculation (PBE) on crystalline TcNi2Te at its relaxed geometry.

Cell and atoms, written as POSCAR:
```
TcNi2Te
1.0
-3.4444 3.4444 2.6088
3.4444 -3.4444 2.6088
3.4444 3.4444 -2.6088
Tc Ni Te
2 4 2
Direct
0.0000 0.0000 0.0000 Tc
0.7500 0.2500 0.5000 Tc
0.1244 0.6250 0.9994 Ni
0.3750 0.3744 0.4994 Ni
0.6256 0.1250 0.0006 Ni
0.8750 0.8756 0.5006 Ni
0.2500 0.7500 0.5000 Te
0.5000 0.5000 0.0000 Te
```

Properties
N(E_F) = 18.83 states/eV/cell
Formation energy without anion corrections = 0.420 eV/atom

***

VASP calculation (PBE) on crystalline Nd6AlGa2 at its relaxed geometry.

Cell and atoms, written as POSCAR:
```
Nd6AlGa2
1.0
-4.9845 5.0156 5.3664
4.9845 -5.0156 5.3664
4.9845 5.0156 -5.3664
Nd Al Ga
12 2 4
Direct
0.0482 0.2455 0.8027 Nd
0.1785 0.2733 0.4518 Nd
0.1785 0.7267 0.9052 Nd
0.3255 0.0339 0.7084 Nd
0.3255 0.6171 0.2916 Nd
0.4428 0.2455 0.1973 Nd
0.5572 0.7545 0.8027 Nd
0.6745 0.3829 0.7084 Nd
0.6745 0.9661 0.2916 Nd
0.8215 0.2733 0.0948 Nd
0.8215 0.7267 0.5482 Nd
0.9518 0.7545 0.1973 Nd
0.0000 0.0000 0.0000 Al
0.5000 0.5000 0.0000 Al
0.1210 0.6210 0.5000 Ga
0.3523 0.0000 0.3523 Ga
0.6477 0.0000 0.6477 Ga
0.8790 0.3790 0.5000 Ga
```

Properties
Formation energy = -0.330 eV per atom
N(E_F) = 19.12 states/eV/cell

***

VASP calculation (PBE) on crystalline TmThSi3 at its relaxed geometry.

Cell and atoms, written as POSCAR:
```
TmThSi3
1.0
2.1049 -12.2820 0.0000
2.1049 12.2820 0.0000
0.0000 0.0000 3.9790
Tm Th Si
2 2 6
Direct
0.2027 0.7973 0.7500 Tm
0.7973 0.2027 0.2500 Tm
0.0718 0.9282 0.2500 Th
0.9282 0.0718 0.7500 Th
0.3201 0.6799 0.7500 Si
0.3787 0.6213 0.2500 Si
0.4749 0.5251 0.2500 Si
0.5251 0.4749 0.7500 Si
0.6213 0.3787 0.7500 Si
0.6799 0.3201 0.2500 Si
```

Properties
N(E_F) = 5.69 states/eV/cell
Formation energy without anion corrections = -0.690 eV/atom

***

VASP calculation (PBE) on crystalline Ba4ZnHg3 at its relaxed geometry.

Cell and atoms, written as POSCAR:
```
Ba4ZnHg3
1.0
4.1856 0.0000 0.0000
0.0000 4.1856 0.0000
0.0000 0.0000 16.7440
Ba Zn Hg
4 1 3
Direct
0.0000 0.0000 0.1211 Ba
0.0000 0.0000 0.3738 Ba
0.0000 0.0000 0.6262 Ba
0.0000 0.0000 0.8789 Ba
0.5000 0.5000 0.0000 Zn
0.5000 0.5000 0.2465 Hg
0.5000 0.5000 0.5000 Hg
0.5000 0.5000 0.7535 Hg
```

Properties
Formation energy = -0.429 eV per atom
N(E_F) = 7.34 states/eV/cell

***

VASP calculation (PBE) on crystalline K2DySb4Au3 at its relaxed geometry.

Cell and atoms, written as POSCAR:
```
K2DySb4Au3
1.0
4.8056 0.0000 0.0000
0.0000 4.8056 0.0000
0.0000 0.0000 12.2759
K Dy Sb Au
2 1 4 3
Direct
0.0000 0.5000 0.2421 K
0.5000 0.0000 0.7579 K
0.0000 0.0000 0.5000 Dy
0.0000 0.0000 0.0000 Sb
0.0000 0.5000 0.6442 Sb
0.5000 0.0000 0.3558 Sb
0.5000 0.5000 0.0000 Sb
0.0000 0.5000 0.8710 Au
0.5000 0.0000 0.1290 Au
0.5000 0.5000 0.5000 Au
```

Properties
N(E_F) = 1.91 states/eV/cell
Formation energy without anion corrections = -0.474 eV/atom

***

VASP calculation (PBE) on crystalline BaBi2Ir at its relaxed geometry.

Cell and atoms, written as POSCAR:
```
BaBi2Ir
1.0
2.1271 1.2281 9.6545
-2.1271 1.2281 9.6545
0.0000 -2.4562 9.6545
Ba Bi Ir
1 2 1
Direct
0.0000 0.0000 0.0000 Ba
0.1222 0.1222 0.1222 Bi
0.8778 0.8778 0.8778 Bi
0.5000 0.5000 0.5000 Ir
```

Properties
Formation energy = 0.091 eV per atom
N(E_F) = 4.21 states/eV/cell

***

VASP calculation (PBE) on crystalline LiPuInHg at its relaxed geometry.

Cell and atoms, written as POSCAR:
```
LiPuInHg
1.0
0.0000 3.6353 3.6353
3.6353 0.0000 3.6353
3.6353 3.6353 0.0000
Li Pu In Hg
1 1 1 1
Direct
0.0000 0.0000 0.0000 Li
0.5000 0.5000 0.5000 Pu
0.7500 0.7500 0.7500 In
0.2500 0.2500 0.2500 Hg
```

Properties
Formation energy = -0.146 eV per atom
N(E_F) = 12.14 states/eV/cell

***

VASP calculation (PBE) on crystalline LiZn4Br at its relaxed geometry.

Cell and atoms, written as POSCAR:
```
LiZn4Br
1.0
0.0000 3.9216 3.9216
3.9216 0.0000 3.9216
3.9216 3.9216 0.0000
Li Zn Br
1 4 1
Direct
0.0000 0.0000 0.0000 Li
0.3738 0.3738 0.3738 Zn
0.3738 0.3738 0.8787 Zn
0.3738 0.8787 0.3738 Zn
0.8787 0.3738 0.3738 Zn
0.7500 0.7500 0.7500 Br
```

Properties
N(E_F) = 3.39 states/eV/cell
Formation energy without anion corrections = 0.055 eV/atom

***

VASP calculation (PBE) on crystalline LiGaTe at its relaxed geometry.

Cell and atoms, written as POSCAR:
```
LiGaTe
1.0
0.0000 3.3129 3.3129
3.3129 0.0000 3.3129
3.3129 3.3129 0.0000
Li Ga Te
1 1 1
Direct
0.0000 0.0000 0.0000 Li
0.2500 0.2500 0.2500 Ga
0.7500 0.7500 0.7500 Te
```

Properties
Polymorph energy (0 for the lowest one) = 0 meV per atom
Formation energy without anion corrections = -0.468 eV/atom

***

VASP calculation (PBE) on crystalline HoSiAu2 at its relaxed geometry.

Cell and atoms, written as POSCAR:
```
HoSiAu2
1.0
0.0000 3.3966 3.3966
3.3966 0.0000 3.3966
3.3966 3.3966 0.0000
Ho Si Au
1 1 2
Direct
0.0000 0.0000 0.0000 Ho
0.5000 0.5000 0.5000 Si
0.2500 0.2500 0.2500 Au
0.7500 0.7500 0.7500 Au
```

Properties
N(E_F) = 1.63 states/eV/cell
Formation energy without anion corrections = -0.476 eV/atom

***

VASP calculation (PBE) on crystalline Pm2Pr5Sb4 at its relaxed geometry.

Cell and atoms, written as POSCAR:
```
Pm2Pr5Sb4
1.0
11.5651 -2.0939 0.0000
11.5651 2.0939 0.0000
-0.9087 0.0000 8.0760
Pm Pr Sb
2 5 4
Direct
0.2010 0.2010 0.1561 Pm
0.7990 0.7990 0.8439 Pm
0.0599 0.0599 0.8773 Pr
0.1776 0.1776 0.5866 Pr
0.5000 0.5000 0.5000 Pr
0.8224 0.8224 0.4134 Pr
0.9401 0.9401 0.1227 Pr
0.0735 0.0735 0.2841 Sb
0.3354 0.3354 0.1226 Sb
0.6646 0.6646 0.8774 Sb
0.9265 0.9265 0.7159 Sb
```

Properties
N(E_F) = 13.41 states/eV/cell
Formation energy without anion corrections = -0.585 eV/atom

***

VASP calculation (PBE) on crystalline HfTlSi2 at its relaxed geometry.

Cell and atoms, written as POSCAR:
```
HfTlSi2
1.0
-3.7999 3.7999 2.9333
3.7999 -3.7999 2.9333
3.7999 3.7999 -2.9333
Hf Tl Si
2 2 4
Direct
0.0000 0.0000 0.0000 Hf
0.7500 0.2500 0.5000 Hf
0.2500 0.7500 0.5000 Tl
0.5000 0.5000 0.0000 Tl
0.1123 0.6250 0.9873 Si
0.3750 0.3623 0.4873 Si
0.6377 0.1250 0.0127 Si
0.8750 0.8877 0.5127 Si
```

Properties
Polymorph energy (0 for the lowest one) = 0 meV per atom
N(E_F) = 6.86 states/eV/cell
Formation energy without anion corrections = 0.411 eV/atom

***

VASP calculation (PBE) on crystalline Rb4La3TiSe8 at its relaxed geometry.

Cell and atoms, written as POSCAR:
```
Rb4La3TiSe8
1.0
4.3402 2.5058 7.9851
-4.3402 2.5058 7.9851
0.0000 -5.0116 7.9851
Rb La Ti Se
4 3 1 8
Direct
0.0000 0.0000 0.0000 Rb
0.0000 0.5000 0.5000 Rb
0.5000 0.0000 0.5000 Rb
0.5000 0.5000 0.0000 Rb
0.0000 0.0000 0.5000 La
0.0000 0.5000 0.0000 La
0.5000 0.0000 0.0000 La
0.5000 0.5000 0.5000 Ti
0.2356 0.2356 0.2356 Se
0.2580 0.7170 0.7170 Se
0.2830 0.2830 0.7420 Se
0.2830 0.7420 0.2830 Se
0.7170 0.2580 0.7170 Se
0.7170 0.7170 0.2580 Se
0.7420 0.2830 0.2830 Se
0.7644 0.7644 0.7644 Se
```

Properties
N(E_F) = 6.73 states/eV/cell
Formation energy without anion corrections = -1.597 eV/atom

***

| no. | DFT total energy (eV/cell) |
| --- | --- |
| 1 | -21.169 |
| 2 | -16.749 |
| 3 | -16.775 |
| 4 | -20.387 |
| 5 | -17.311 |
| 6 | -46.783 |
| 7 | -82.753 |
| 8 | -63.223 |
| 9 | -13.299 |
| 10 | -37.859 |
| 11 | -18.180 |
| 12 | -19.871 |
| 13 | -8.354 |
| 14 | -9.486 |
| 15 | -18.459 |
| 16 | -56.321 |
| 17 | -43.043 |
| 18 | -79.968 |